[1]
Here is crystalline Ce3PuTe4 at its relaxed geometry from Alexandria. Energies are from PBE.

Structure (POSCAR):
```
Ce3PuTe4
1.0
-2.818 5.202 -2.273
-5.559 -2.013 2.283
1.152 3.009 5.458
Pu Ce Te
1 3 4
direct
0.000 0.000 0.000
0.000 0.500 0.500
0.500 0.500 0.000
0.500 0.000 0.500
0.500 0.500 0.500
0.500 0.000 0.000
0.000 0.000 0.500
0.000 0.500 0.000
```

Results
- space group = Pm-3m, No. 221
- magnetic moment (μB per atom) = 1.211
- E_form (uncorrected) (eV/atom) = -1.296

---

[2]
Here is crystalline ZrSnS3 at its relaxed geometry from Alexandria. Energies are from PBE.

Structure (POSCAR):
```
ZrSnS3
1.0
4.888 0.000 0.000
0.000 4.888 0.000
0.000 0.000 4.888
Sn S Zr
1 3 1
direct
0.000 0.000 0.000
0.000 0.500 0.000
0.500 0.000 0.000
0.000 0.000 0.500
0.500 0.500 0.500
```

Results
- space group = Pm-3m, No. 221
- magnetic moment (μB per atom) = 0.000
- E_form (uncorrected) (eV/atom) = 0.216